! PBE CeNd6Dy3, relaxed; values from VASP
&SYSTEM
  ibrav = 0, nat = 20, ntyp = 3
/
ATOMIC_SPECIES
Ce 140.12 Ce.upf
Nd 144.24 Nd.upf
Dy 162.50 Dy.upf
ATOMIC_POSITIONS crystal
Ce 0.000 0.000 0.000
Ce 0.000 0.500 0.500
Nd 0.003 0.185 0.501
Nd 0.003 0.315 0.001
Nd 0.113 0.001 0.264
Nd 0.113 0.499 0.764
Nd 0.419 0.169 0.854
Nd 0.419 0.331 0.354
Nd 0.581 0.669 0.646
Nd 0.581 0.831 0.146
Nd 0.887 0.501 0.236
Nd 0.887 0.999 0.736
Nd 0.997 0.685 0.999
Nd 0.997 0.815 0.499
Dy 0.418 0.667 0.364
Dy 0.418 0.833 0.864
Dy 0.500 0.000 0.500
Dy 0.500 0.500 0.000
Dy 0.582 0.167 0.136
Dy 0.582 0.333 0.636
CELL_PARAMETERS angstrom
5.688 0.000 0.000
0.000 10.096 0.000
-2.579 0.000 12.072
! Volume in Å³ per cell: 693
! Space group: P2_1/c (14)
! ΔE_f in eV/f.u.: 2.190
! Total energy in eV for the cell shown: -92.315